Record 1
5
Lattice="4.769 0.000 0.000 0.000 4.769 0.000 0.000 0.000 5.086" Properties=species:S:1:pos:R:3 comment="TlZn2InCu, optimized geometry, DFT PBE" crystal_system=tetragonal pbc="T T T"
Tl 0.000 0.000 0.000
Zn 0.000 2.385 2.543
Zn 2.385 0.000 2.543
In 2.385 2.385 0.000
Cu 2.385 2.385 2.543

Record 2
5
Lattice="5.144 0.000 0.000 0.000 5.144 0.000 0.000 0.000 4.781" Properties=species:S:1:pos:R:3 comment="TlZnIn2Cu, optimized geometry, DFT PBE" crystal_system=tetragonal pbc="T T T"
Tl 0.000 0.000 0.000
Zn 2.572 2.572 0.000
In 0.000 2.572 2.390
In 2.572 0.000 2.390
Cu 2.572 2.572 2.390

Record 3
10
Lattice="1.732 -12.343 0.000 1.732 12.343 0.000 0.000 0.000 4.201" Properties=species:S:1:pos:R:3 comment="TmInCu3, optimized geometry, DFT PBE" crystal_system=orthorhombic pbc="T T T"
Tm 1.732 10.496 3.150
Tm 1.732 -10.496 1.050
In 1.732 7.164 1.050
In 1.732 -7.164 3.150
Cu 1.732 4.398 1.050
Cu 1.732 3.054 3.150
Cu 1.732 0.626 3.150
Cu 1.732 -0.626 1.050
Cu 1.732 -3.054 1.050
Cu 1.732 -4.398 3.150

Record 4
12
Lattice="0.000 5.742 5.908 4.114 0.000 5.908 4.114 5.742 0.000" Properties=species:S:1:pos:R:3 comment="TmInCu, optimized geometry, DFT PBE" crystal_system=orthorhombic pbc="T T T"
Tm 0.000 0.000 0.000
Tm 2.057 2.871 0.000
Tm 2.057 0.000 2.954
Tm 0.000 2.871 2.954
In 3.085 2.780 4.431
In 5.142 5.651 7.385
In 3.085 5.833 4.431
In 5.142 8.704 7.385
Cu 3.085 4.307 2.259
Cu 5.142 7.178 5.213
Cu 3.085 4.307 6.603
Cu 5.142 7.178 9.557

Record 5
7
Lattice="2.412 1.392 8.863 -2.412 1.392 8.863 0.000 -2.785 8.863" Properties=species:S:1:pos:R:3 comment="Tm4InCu2, optimized geometry, DFT PBE" crystal_system=trigonal pbc="T T T"
Tm 0.000 0.000 3.060
Tm 0.000 0.000 7.876
Tm 0.000 0.000 18.713
Tm 0.000 0.000 23.529
In 0.000 0.000 13.295
Cu 0.000 0.000 10.661
Cu 0.000 0.000 15.928

Record 6
4
Lattice="4.580 0.000 0.000 0.000 4.580 0.000 0.000 0.000 3.571" Properties=species:S:1:pos:R:3 comment="TmInCu2, optimized geometry, DFT PBE" crystal_system=tetragonal pbc="T T T"
Tm 0.000 0.000 0.000
In 2.290 2.290 0.000
Cu 0.000 2.290 1.786
Cu 2.290 0.000 1.786

Record 7
10
Lattice="4.921 -3.325 0.000 4.921 3.325 0.000 -3.904 0.000 7.790" Properties=species:S:1:pos:R:3 comment="Tm3InCu, optimized geometry, DFT PBE" crystal_system=monoclinic e_above_lowest_polymorph_ev_per_fu=0.28 pbc="T T T"
Tm -0.606 0.000 1.808
Tm 0.275 0.000 5.303
Tm 2.630 0.000 0.896
Tm 3.307 0.000 6.894
Tm 5.662 0.000 2.487
Tm 6.543 0.000 5.983
In 2.968 1.422 3.895
In 2.968 -1.422 3.895
Cu 4.921 1.312 0.000
Cu 4.921 -1.312 0.000

Record 8
12
Lattice="2.574 1.486 8.471 -2.574 1.486 8.471 0.000 -2.972 8.471" Properties=species:S:1:pos:R:3 comment="Tm3InCu8, optimized geometry, DFT PBE" crystal_system=trigonal pbc="T T T"
Tm 0.000 0.000 0.000
Tm 0.000 0.000 3.176
Tm 0.000 0.000 15.712
In 0.000 0.000 12.556
Cu 0.000 -1.506 5.769
Cu -1.290 -0.745 9.970
Cu -1.304 0.753 5.769
Cu 0.000 0.000 7.859
Cu 1.290 -0.745 9.970
Cu 0.000 1.490 9.970
Cu 1.304 0.753 5.769
Cu 0.000 0.000 20.586

Record 9
11
Lattice="4.668 0.000 0.000 0.000 4.668 0.000 0.000 0.000 12.134" Properties=species:S:1:pos:R:3 comment="Tm2In8Cu, optimized geometry, DFT PBE" crystal_system=tetragonal pbc="T T T"
Tm 0.000 0.000 2.318
Tm 0.000 0.000 9.817
In 0.000 2.334 0.000
In 0.000 2.334 4.538
In 0.000 2.334 7.597
In 2.334 0.000 0.000
In 2.334 0.000 4.538
In 2.334 0.000 7.597
In 2.334 2.334 2.321
In 2.334 2.334 9.814
Cu 0.000 0.000 6.067

Record 10
4
Lattice="0.000 3.294 3.294 3.294 0.000 3.294 3.294 3.294 0.000" Properties=species:S:1:pos:R:3 comment="TmInCu2, optimized geometry, DFT PBE" crystal_system=cubic pbc="T T T"
Tm 0.000 0.000 0.000
In 3.294 3.294 3.294
Cu 1.647 1.647 1.647
Cu 4.941 4.941 4.941

Values for E, eV/cell, ordered as above
-10.88; -12.49; -40.50; -46.60; -29.30; -15.97; -42.76; -51.74; -37.65; -16.72
Values for theoretical density, g/cm³, ordered as above
7.37; 7.39; 8.77; 8.26; 8.53; 9.11; 8.93; 9.65; 8.29; 9.54